VASP calculation (GGA-PBE) on La2ScAs after structural relaxation.

```
La2ScAs
1.0
3.141 -4.381 0.000
3.141 4.381 0.000
0.000 0.000 3.872
La Sc As
2 1 1
Direct
0.000 0.500 0.000
0.500 0.000 0.000
0.000 0.000 0.500
0.500 0.500 0.500
```

Summary:
Uncorrected energy: -22.74 eV per formula unit
Formation enthalpy at 0 K: -0.48 eV/atom



VASP calculation (GGA-PBE) on Rb6IF12 after structural relaxation.

```
Rb6IF12
1.0
6.065 3.502 3.834
-6.065 3.502 3.834
0.000 -7.003 3.834
Rb I F
6 1 12
Direct
0.097 0.834 0.651
0.166 0.349 0.903
0.349 0.903 0.166
0.651 0.097 0.834
0.834 0.651 0.097
0.903 0.166 0.349
0.500 0.500 0.500
0.081 0.895 0.329
0.105 0.671 0.919
0.251 0.430 0.520
0.329 0.081 0.895
0.430 0.520 0.251
0.480 0.749 0.570
0.520 0.251 0.430
0.570 0.480 0.749
0.671 0.919 0.105
0.749 0.570 0.480
0.895 0.329 0.081
0.919 0.105 0.671
```

Summary:
Uncorrected energy: -72.30 eV per formula unit



VASP calculation (GGA-PBE) on YRh2PbCl after structural relaxation.

```
YRh2PbCl
1.0
4.966 0.000 0.000
0.000 4.966 0.000
0.000 0.000 5.969
Y Rh Pb Cl
1 2 1 1
Direct
0.000 0.000 0.000
0.000 0.500 0.500
0.500 0.000 0.500
0.000 0.000 0.500
0.500 0.500 0.000
```

Summary:
Uncorrected energy: -23.31 eV per formula unit